1.
Compound: CaPuTlGa
Source: Alexandria
Functional: GGA-PBE
Structure: optimized geometry

Lattice parameters (Å, degrees): 5.323 5.323 5.323 60.00 60.00 60.00
Positions (direct):
Ca  0.000  0.000  0.000
Pu  0.500  0.500  0.500
Tl  0.750  0.750  0.750
Ga  0.250  0.250  0.250

Energy above the most stable polymorph in this dataset: 45.3 meV per atom
M_tot: 5.75 Bohr magnetons per cell
ΔE_f: -0.22 eV/atom
N(E_F): 11.60 states/eV per cell
Final energy: -5.654 eV per atom
Symmetry: F-43m (216)

2.
Compound: CaPuZnGa
Source: Alexandria
Functional: GGA-PBE
Structure: optimized geometry

Lattice parameters (Å, degrees): 5.121 5.121 5.121 60.00 60.00 60.00
Positions (direct):
Ca  0.000  0.000  0.000
Pu  0.500  0.500  0.500
Zn  0.250  0.250  0.250
Ga  0.750  0.750  0.750

M_tot: 5.55 Bohr magnetons per cell
ΔE_f: -0.22 eV/atom
N(E_F): 8.18 states/eV per cell
Final energy: -5.383 eV per atom
Symmetry: F-43m (216)

3.
Compound: RbCa2Ga2
Source: Alexandria
Functional: GGA-PBE
Structure: optimized geometry

Lattice parameters (Å, degrees): 7.338 7.338 7.338 134.77 134.77 65.88
Positions (direct):
Rb  0.000  0.000  0.000
Ca  0.338  0.338  0.000
Ca  0.662  0.662  0.000
Ga  0.250  0.750  0.500
Ga  0.750  0.250  0.500

Energy above the most stable polymorph in this dataset: 199.4 meV per atom
M_tot: 0.00 Bohr magnetons per cell
ΔE_f: 0.06 eV/atom
N(E_F): 4.95 states/eV per cell
Final energy: -2.146 eV per atom
Symmetry: I4/mmm (139)

4.
Compound: RbCa2Ga2
Source: Alexandria
Functional: GGA-PBE
Structure: optimized geometry

Lattice parameters (Å, degrees): 9.145 9.145 3.616 90.00 90.00 90.00
Positions (direct):
Rb  0.000  0.000  0.000
Rb  0.500  0.500  0.000
Ca  0.141  0.359  0.000
Ca  0.359  0.859  0.000
Ca  0.641  0.141  0.000
Ca  0.859  0.641  0.000
Ga  0.150  0.650  0.500
Ga  0.350  0.150  0.500
Ga  0.650  0.850  0.500
Ga  0.850  0.350  0.500

Energy above the most stable polymorph in this dataset: 7.8 meV per atom
M_tot: 0.00 Bohr magnetons per cell
ΔE_f: -0.13 eV/atom
N(E_F): 4.55 states/eV per cell
Final energy: -2.338 eV per atom
Symmetry: P4/mbm (127)

5.
Compound: RbCa2Ga2
Source: Alexandria
Functional: GGA-PBE
Structure: optimized geometry

Lattice parameters (Å, degrees): 8.953 8.953 3.910 90.00 90.00 90.00
Positions (direct):
Rb  0.000  0.000  0.000
Rb  0.500  0.500  0.000
Ca  0.174  0.326  0.500
Ca  0.326  0.826  0.500
Ca  0.674  0.174  0.500
Ca  0.826  0.674  0.500
Ga  0.108  0.608  0.000
Ga  0.392  0.108  0.000
Ga  0.608  0.892  0.000
Ga  0.892  0.392  0.000

Energy above the most stable polymorph in this dataset: 0.0 meV per atom
M_tot: 0.00 Bohr magnetons per cell
ΔE_f: -0.14 eV/atom
N(E_F): 5.59 states/eV per cell
Final energy: -2.346 eV per atom
Symmetry: P4/mbm (127)

6.
Compound: Rb3CaGa
Source: Alexandria
Functional: GGA-PBE
Structure: optimized geometry

Lattice parameters (Å, degrees): 6.927 6.927 6.927 90.00 90.00 90.00
Positions (direct):
Rb  0.000  0.000  0.500
Rb  0.000  0.500  0.000
Rb  0.500  0.000  0.000
Ca  0.500  0.500  0.500
Ga  0.000  0.000  0.000

Energy above the most stable polymorph in this dataset: 0.0 meV per atom
M_tot: 0.00 Bohr magnetons per cell
ΔE_f: 0.34 eV/atom
N(E_F): 4.40 states/eV per cell
Final energy: -1.251 eV per atom
Symmetry: Pm-3m (221)

7.
Compound: Rb2Ca2Ga
Source: Alexandria
Functional: GGA-PBE
Structure: optimized geometry

Lattice parameters (Å, degrees): 8.225 8.225 7.317 90.00 90.00 90.00
Positions (direct):
Rb  0.183  0.317  0.000
Rb  0.317  0.817  0.000
Rb  0.683  0.183  0.000
Rb  0.817  0.683  0.000
Ca  0.172  0.672  0.500
Ca  0.328  0.172  0.500
Ca  0.672  0.828  0.500
Ca  0.828  0.328  0.500
Ga  0.000  0.000  0.500
Ga  0.500  0.500  0.500

M_tot: 0.00 Bohr magnetons per cell
ΔE_f: 0.10 eV/atom
N(E_F): 15.13 states/eV per cell
Final energy: -1.690 eV per atom
Symmetry: P4/mbm (127)

8.
Compound: Rb2CaGa
Source: Alexandria
Functional: GGA-PBE
Structure: optimized geometry

Lattice parameters (Å, degrees): 9.607 9.607 9.607 95.52 95.52 143.85
Positions (direct):
Rb  0.375  0.237  0.362
Rb  0.763  0.125  0.138
Rb  0.875  0.013  0.638
Rb  0.987  0.625  0.862
Ca  0.250  0.750  0.500
Ca  0.500  0.500  0.000
Ga  0.000  0.000  0.000
Ga  0.750  0.250  0.500

M_tot: 1.76 Bohr magnetons per cell
ΔE_f: 0.22 eV/atom
N(E_F): 5.55 states/eV per cell
Final energy: -1.525 eV per atom
Symmetry: I-42d (122)